(1)
A plane-wave DFT calculation with GGA-PBE was carried out for a geometry-optimized Zn2Pt structure.

formation energy	-238	meV/atom
raw total energy	-3.101	eV/atom

Cell and atoms, written as extended XYZ:
```
12
Lattice="-1.2673 -4.5830 1.5527 2.1169 -4.0225 -2.0878 5.7733 0.2340 5.4028" Properties=species:S:1:pos:R:3 pbc="T T T"
Zn 0.0000 0.0000 0.0000
Zn 2.8867 0.1170 2.7014
Zn 4.0093 -5.0032 4.6191
Zn 5.6464 -4.7321 2.8579
Zn 1.5895 -1.4223 1.2586
Zn 5.0333 -6.9492 3.6091
Zn 0.9764 -3.6394 2.0098
Zn 2.6136 -3.3683 0.2486
Pt 0.9099 -5.7230 -0.0353
Pt 3.1095 -5.6339 2.0232
Pt 3.5134 -2.7376 2.8445
Pt 5.7130 -2.6484 4.9030
```

=====

(2)
A plane-wave DFT calculation with GGA-PBE was carried out for a geometry-optimized ZnPt3 structure.

formation energy	1328	meV/atom
raw total energy	-3.521	eV/atom

Cell and atoms, written as extended XYZ:
```
4
Lattice="-1.6432 3.8558 -2.0826 -3.3612 -2.5360 -2.0433 -2.8118 0.7783 3.6595" Properties=species:S:1:pos:R:3 pbc="T T T"
Pt -1.4059 0.3891 1.8298
Pt -1.6806 -1.2680 -1.0216
Pt -0.8216 1.9279 -1.0413
Zn 0.0000 0.0000 0.0000
```

=====

(3)
A plane-wave DFT calculation with GGA-PBE was carried out for a geometry-optimized ZnPt structure.

formation energy	235	meV/atom
raw total energy	-3.422	eV/atom

Cell and atoms, written as extended XYZ:
```
16
Lattice="-2.4963 -5.5713 -4.7399 6.8312 -3.5663 0.5941 -2.6153 -3.9975 6.0760" Properties=species:S:1:pos:R:3 pbc="T T T"
Zn 0.3320 -2.5361 0.3727
Zn 2.9199 -7.1791 4.4670
Zn -2.8057 -8.4098 1.1928
Zn 2.9930 -8.1451 -2.1722
Zn 1.1918 -9.1037 1.3377
Zn -0.4362 -6.1828 -1.2380
Zn 3.1657 -5.4086 0.8218
Zn -0.4822 -5.5751 2.9387
Pt 0.6420 -4.9040 0.7206
Pt 1.7099 -6.8199 2.4101
Pt -0.6528 -7.3277 1.0590
Pt 1.7400 -7.2185 -0.3295
Pt 1.5018 -11.4715 1.6857
Pt -1.6462 -5.8236 -3.2949
Pt 5.3187 -4.3265 0.6881
Pt -1.7351 -4.6485 4.7814
```

=====

(4)
A plane-wave DFT calculation with GGA-PBE was carried out for a geometry-optimized Zn3Pt structure.

formation energy	-330	meV/atom
raw total energy	-2.795	eV/atom

Cell and atoms, written as extended XYZ:
```
4
Lattice="-0.4625 2.8196 3.7395 -0.3359 -5.0978 0.8409 2.5574 -0.8048 0.9231" Properties=species:S:1:pos:R:3 pbc="T T T"
Zn 0.4528 -2.4797 0.9385
Zn 1.0497 0.9938 2.3132
Zn 1.4604 -1.5433 3.3183
Pt -0.0023 0.0138 0.0183
```

=====

(5)
A plane-wave DFT calculation with GGA-PBE was carried out for a geometry-optimized Zn7Pt3 structure.

formation energy	-398	meV/atom
raw total energy	-3.102	eV/atom

Cell and atoms, written as extended XYZ:
```
10
Lattice="-3.8191 -0.9484 -0.2706 0.3501 -2.7418 4.6682 0.1469 7.0241 2.0583" Properties=species:S:1:pos:R:3 pbc="T T T"
Zn 0.1751 -1.3709 2.3341
Zn -2.6546 1.0234 5.1329
Zn -0.6675 2.3105 1.3231
Zn -2.1756 0.0732 1.7018
Zn -1.1465 3.2607 4.7542
Zn -1.9751 -1.3880 3.9932
Zn -1.3470 4.7219 2.4629
Pt 0.0000 0.0000 0.0000
Pt -2.8600 2.5089 2.8247
Pt -0.4621 0.8250 3.6313
```

=====

(6)
A plane-wave DFT calculation with GGA-PBE was carried out for a geometry-optimized ZnPt3 structure.

formation energy	-294	meV/atom
raw total energy	-5.143	eV/atom

Cell and atoms, written as extended XYZ:
```
4
Lattice="-1.7459 2.1203 0.3884 -1.5753 -2.0212 3.9532 3.3052 2.2680 2.4767" Properties=species:S:1:pos:R:3 pbc="T T T"
Zn 0.5923 -0.0637 3.0106
Pt 3.0275 2.0774 2.2686
Pt 0.5014 2.0032 1.2240
Pt 1.3714 2.1301 4.4427
```

=====

(7)
A plane-wave DFT calculation with GGA-PBE was carried out for a geometry-optimized Zn6Pt structure.

excess energy over the best structure of this formula in the dataset	0	meV/atom
formation energy	-26	meV/atom
raw total energy	-1.981	eV/atom

Cell and atoms, written as extended XYZ:
```
14
Lattice="-4.3287 2.2238 0.3863 -1.1870 -2.9536 3.7012 3.6140 6.0016 5.9484" Properties=species:S:1:pos:R:3 pbc="T T T"
Zn -2.2688 0.4473 2.8487
Zn 0.4891 0.8122 0.8050
Zn 3.1250 5.1894 5.1434
Zn 0.3671 4.8245 7.1872
Zn -3.0656 1.9763 4.9617
Zn -1.0714 0.4411 5.2990
Zn -1.8517 3.1344 3.0557
Zn 0.1425 1.5992 3.3930
Zn -1.5939 2.9305 7.1180
Zn 0.7406 2.2420 6.3943
Zn -1.6208 4.7260 5.3227
Zn 0.7137 4.0375 4.5991
Pt -2.1643 1.1119 0.1931
Pt -0.5935 -1.4768 1.8506
```

=====

(8)
A plane-wave DFT calculation with GGA-PBE was carried out for a geometry-optimized ZnPt3 structure.

formation energy	-273	meV/atom
raw total energy	-5.122	eV/atom

Cell and atoms, written as extended XYZ:
```
4
Lattice="2.7801 0.0000 0.0000 0.0000 3.8795 0.0000 0.0000 0.0000 5.6638" Properties=species:S:1:pos:R:3 pbc="T T T"
Zn 1.3900 1.9398 1.4159
Pt 0.0000 0.0000 0.0413
Pt 0.0000 0.0000 2.7906
Pt 1.3900 1.9398 4.2478
```